(1)
The following is a PBE calculation of crystalline Nd4Pu3S8 at its relaxed geometry, from Alexandria via LeMat-Bulk.

Cell and atoms, written as POSCAR:
```
Nd4Pu3S8
1.0
3.969 2.292 7.303
-3.969 2.292 7.303
0.000 -4.583 7.303
Nd Pu S
4 3 8
Direct
0.000 0.000 0.000
0.150 0.150 0.150
0.500 0.500 0.500
0.850 0.850 0.850
0.000 0.500 0.500
0.500 0.000 0.500
0.500 0.500 0.000
0.249 0.249 0.743
0.249 0.743 0.249
0.257 0.751 0.751
0.271 0.271 0.271
0.729 0.729 0.729
0.743 0.249 0.249
0.751 0.257 0.751
0.751 0.751 0.257
```

Computed properties:
D(E_F): 27.06 states/eV/f.u.
energy relative to the lowest polymorph listed for this composition: 0.255 eV per atom
formation energy from raw total energies: -38.40 kcal/mol of atoms
size of the total moment: 1.1543 μB per atom
symmetry: No. 166
total energy: -120.07 eV for the cell shown

***

(2)
The following is a PBE calculation of crystalline NdPuS2 at its relaxed geometry, from Alexandria via LeMat-Bulk.

Cell and atoms, written as POSCAR:
```
NdPuS2
1.0
1.955 1.129 7.019
-1.955 1.129 7.019
0.000 -2.257 7.019
Nd Pu S
1 1 2
Direct
0.000 0.000 0.000
0.175 0.175 0.175
0.583 0.583 0.583
0.758 0.758 0.758
```

Computed properties:
D(E_F): 6.52 states/eV/f.u.
energy relative to the lowest polymorph listed for this composition: 0.104 eV per atom
formation energy from raw total energies: -41.70 kcal/mol of atoms
size of the total moment: 1.3187 μB per atom
symmetry: No. 160
total energy: -34.59 eV for the cell shown

***

(3)
The following is a PBE calculation of crystalline Nd6PuS8 at its relaxed geometry, from Alexandria via LeMat-Bulk.

Cell and atoms, written as POSCAR:
```
Nd6PuS8
1.0
0.000 5.739 5.739
5.739 0.000 5.739
5.739 5.739 0.000
Nd Pu S
6 1 8
Direct
0.000 0.000 0.500
0.000 0.500 0.000
0.000 0.500 0.500
0.500 0.000 0.000
0.500 0.000 0.500
0.500 0.500 0.000
0.000 0.000 0.000
0.246 0.246 0.754
0.246 0.754 0.246
0.246 0.754 0.754
0.250 0.250 0.250
0.750 0.750 0.750
0.754 0.246 0.246
0.754 0.246 0.754
0.754 0.754 0.246
```

Computed properties:
D(E_F): 15.12 states/eV/f.u.
formation energy from raw total energies: -46.10 kcal/mol of atoms
size of the total moment: 0.4167 μB per atom
symmetry: No. 225
total energy: -105.94 eV for the cell shown

***

Which of these has the highest total energy? NdPuS2

***

Look up the formation energy from raw total energies of the third one. -46.10 kcal/mol of atoms

***

formation energy from raw total energies of number 1 (Nd4Pu3S8)? -38.40 kcal/mol of atoms